Below is a relaxed structure of VOs3Pb, with properties calculated at the GGA-PBE level.

Cell lengths 4.579, 4.579, 4.579 Å; angles 90.00, 90.00, 90.00 degrees
Positions (direct):
Os (0.500, 0.000, 0.000)
Os (0.000, 0.000, 0.500)
Os (0.000, 0.500, 0.000)
Pb (0.500, 0.500, 0.500)
V (0.000, 0.000, 0.000)

Results
The density of states at the Fermi level comes out at 7.08 states/eV/f.u. As for the energy above the lowest structure with this stoichiometry: 0 meV per atom. For the calculated density, the calculation gives 14.334 g/cm3. The calculation puts the total DFT energy (no corrections) at -38.6 eV for the cell shown. Its symmetry is Pm-3m. The energy relative to the elements is 1.59 eV per atom. The calculation puts the magnetization at 0.00 μB per atom.

---

Below is a relaxed structure of Co3SbIr, with properties calculated at the GGA-PBE level.

Cell lengths 4.577, 4.577, 4.577 Å; angles 90.00, 90.00, 90.00 degrees
Each line ends with the local moment (μB).
Positions (direct):
Co (0.000, 0.500, 0.000)  1.82
Co (0.000, 0.000, 0.500)  2.35
Co (0.500, 0.000, 0.000)  1.28
Ir (0.000, 0.000, 0.000)  0.71
Sb (0.500, 0.500, 0.500)  -0.01

Results
The density of states at the Fermi level comes out at 7.40 states/eV/f.u. As for the energy above the lowest structure with this stoichiometry: 0 meV per atom. For the calculated density, the calculation gives 8.497 g/cm3. The calculation puts the total DFT energy (no corrections) at -28.6 eV for the cell shown. Its symmetry is Pm-3m. The formation energy (no corrections) is 1147 meV per atom. The calculation puts the magnetization at 1.24 μB per atom.

---

Below is a relaxed structure of Cr2RuW, with properties calculated at the GGA-PBE level.

Cell lengths 4.955, 4.955, 4.955 Å; angles 144.66, 128.50, 64.01 degrees
Positions (direct):
W (0.750, 0.250, 0.500)
Cr (0.509, 0.509, 0.000)
Cr (0.991, 0.991, 0.000)
Ru (0.250, 0.750, 0.500)

Results
The density of states at the Fermi level comes out at 4.16 states/eV/f.u. As for the energy above the lowest structure with this stoichiometry: 75 meV per atom. For the calculated density, the calculation gives 11.869 g/cm3. The calculation puts the total DFT energy (no corrections) at -40.8 eV for the cell shown. Its symmetry is Immm. The energy relative to the elements is 0.16 eV per atom. The calculation puts the magnetization at 0.00 μB per atom.

---

Q: Look up the energy above the lowest structure with this stoichiometry of the first one.
A: 0 meV per atom